First-principles (GGA-PBE) data for crystalline Li3GaPd2 at its relaxed geometry, as listed in Alexandria via LeMat-Bulk.

abc: 3.9253 8.0899 7.0213
angles: 125.18 106.23 90.00
Sites, in units of the cell vectors:
Li 0.8253 0.0753 0.6505
Li 0.1747 0.4247 0.3495
Li 0.5000 0.2500 0.0000
Li 0.8253 0.5753 0.6505
Li 0.1747 0.9247 0.3495
Li 0.5000 0.7500 0.0000
Pd 0.3467 0.3467 0.6934
Pd 0.3467 0.8467 0.6934
Pd 0.6533 0.1533 0.3066
Pd 0.6533 0.6533 0.3066
Ga 0.0000 0.5000 0.0000
Ga 0.0000 0.0000 0.0000

Summary:
The calculation puts the formation energy at -0.4998 eV/atom. The value obtained for the raw total energy is -44.3 eV for the cell shown. The space group is Cmmm (65). As for the density of states at the Fermi level: 0.34 states/eV/atom. As for the energy above the most stable polymorph in this dataset: 23.0 meV per atom.